Entry 1:
# SrCaSn (PBE, relaxed)
# ΔH_f (0 K) = -14.55 kcal/mol of atoms
data_SrCaSn
_chemical_formula_sum 'Sr2 Ca2 Sn2'
_cell_length_a 5.112
_cell_length_b 5.112
_cell_length_c 8.328
_cell_angle_alpha 90.00
_cell_angle_beta 90.00
_cell_angle_gamma 90.00
_symmetry_space_group_name_H-M 'P 4/n m m'
_symmetry_Int_Tables_number 129
loop_
_symmetry_equiv_pos_as_xyz
'x,y,z'
'-x,-y,-z'
'-y+1/2,x,z'
'y+1/2,-x,-z'
'-x+1/2,-y+1/2,z'
'x+1/2,y+1/2,-z'
'y,-x+1/2,z'
'-y,x+1/2,-z'
'x+1/2,-y,-z'
'-x+1/2,y,z'
'-y,-x,-z'
'y,x,z'
'-x,y+1/2,-z'
'x,-y+1/2,z'
'y+1/2,x+1/2,-z'
'-y+1/2,-x+1/2,z'
loop_
_atom_site_label
_atom_site_type_symbol
_atom_site_fract_x
_atom_site_fract_y
_atom_site_fract_z
Sr1 Sr 0.250 0.250 0.141
Ca1 Ca 0.250 0.750 0.500
Sn1 Sn 0.250 0.250 0.738

Entry 2:
# Sr3CaSn (PBE, relaxed)
# ΔH_f (0 K) = 15.79 kcal/mol of atoms
data_Sr3CaSn
_chemical_formula_sum 'Sr3 Ca1 Sn1'
_cell_length_a 6.369
_cell_length_b 6.369
_cell_length_c 6.369
_cell_angle_alpha 90.00
_cell_angle_beta 90.00
_cell_angle_gamma 90.00
_symmetry_space_group_name_H-M 'P m -3 m'
_symmetry_Int_Tables_number 221
_symmetry_space_group_name_Hall '-P 4 2 3'
loop_
_atom_site_label
_atom_site_type_symbol
_atom_site_fract_x
_atom_site_fract_y
_atom_site_fract_z
Sr1 Sr 0.000 0.000 0.500
Ca1 Ca 0.000 0.000 0.000
Sn1 Sn 0.500 0.500 0.500

Entry 3:
# Sr3CaSn12 (PBE, relaxed)
# ΔH_f (0 K) = -8.83 kcal/mol of atoms
data_Sr3CaSn12
_chemical_formula_sum 'Sr3 Ca1 Sn12'
_cell_length_a 4.841
_cell_length_b 4.841
_cell_length_c 19.362
_cell_angle_alpha 90.00
_cell_angle_beta 90.00
_cell_angle_gamma 90.00
_symmetry_space_group_name_H-M 'P 4/m m m'
_symmetry_Int_Tables_number 123
_symmetry_space_group_name_Hall '-P 4 2'
loop_
_atom_site_label
_atom_site_type_symbol
_atom_site_fract_x
_atom_site_fract_y
_atom_site_fract_z
Sr1 Sr 0.000 0.000 0.000
Sr2 Sr 0.000 0.000 0.253
Ca1 Ca 0.000 0.000 0.500
Sn1 Sn 0.000 0.500 0.126
Sn2 Sn 0.000 0.500 0.380
Sn3 Sn 0.500 0.500 0.000
Sn4 Sn 0.500 0.500 0.253
Sn5 Sn 0.500 0.500 0.500

Entry 4:
# SrCaSn (PBE, relaxed)
# ΔH_f (0 K) = -15.35 kcal/mol of atoms
data_SrCaSn
_chemical_formula_sum 'Sr6 Ca6 Sn6'
_cell_length_a 8.488
_cell_length_b 5.116
_cell_length_c 14.692
_cell_angle_alpha 90.00
_cell_angle_beta 90.03
_cell_angle_gamma 90.00
_symmetry_space_group_name_H-M 'P 1 21/m 1'
_symmetry_Int_Tables_number 11
_symmetry_space_group_name_Hall '-P 2yb'
loop_
_atom_site_label
_atom_site_type_symbol
_atom_site_fract_x
_atom_site_fract_y
_atom_site_fract_z
Sr1 Sr 0.012 0.250 0.205
Sr2 Sr 0.355 0.750 0.586
Sr3 Sr 0.475 0.750 0.878
Ca1 Ca 0.015 0.250 0.591
Ca2 Ca 0.152 0.250 0.957
Ca3 Ca 0.356 0.750 0.289
Sn1 Sn 0.231 0.250 0.409
Sn2 Sn 0.235 0.750 0.078
Sn3 Sn 0.273 0.250 0.748

Entry 5:
# Sr4CaSn2 (PBE, relaxed)
# ΔH_f (0 K) = -8.12 kcal/mol of atoms
data_Sr4CaSn2
_chemical_formula_sum 'Sr8 Ca2 Sn4'
_cell_length_a 9.205
_cell_length_b 7.241
_cell_length_c 9.225
_cell_angle_alpha 90.00
_cell_angle_beta 113.77
_cell_angle_gamma 90.00
_symmetry_space_group_name_H-M 'P 1 21/m 1'
_symmetry_Int_Tables_number 11
_symmetry_space_group_name_Hall '-P 2yb'
loop_
_atom_site_label
_atom_site_type_symbol
_atom_site_fract_x
_atom_site_fract_y
_atom_site_fract_z
Sr1 Sr 0.065 0.250 0.077
Sr2 Sr 0.289 0.000 0.788
Sr3 Sr 0.425 0.250 0.439
Ca1 Ca 0.133 0.750 0.366
Sn1 Sn 0.070 0.250 0.430
Sn2 Sn 0.347 0.750 0.151

Entry 6:
# Sr2Ca3Sn2 (PBE, relaxed)
# ΔH_f (0 K) = -11.21 kcal/mol of atoms
data_Sr2Ca3Sn2
_chemical_formula_sum 'Sr4 Ca6 Sn4'
_cell_length_a 12.561
_cell_length_b 4.939
_cell_length_c 8.989
_cell_angle_alpha 90.00
_cell_angle_beta 110.50
_cell_angle_gamma 90.00
_symmetry_space_group_name_H-M 'C 1 2/m 1'
_symmetry_Int_Tables_number 12
_symmetry_space_group_name_Hall '-C 2y'
loop_
_atom_site_label
_atom_site_type_symbol
_atom_site_fract_x
_atom_site_fract_y
_atom_site_fract_z
Sr1 Sr 0.148 0.000 0.305
Ca1 Ca 0.000 0.500 0.500
Ca2 Ca 0.133 0.500 0.935
Sn1 Sn 0.161 0.000 0.715

Entry 7:
# Sr2Ca2Sn15 (PBE, relaxed)
# ΔH_f (0 K) = -5.59 kcal/mol of atoms
data_Sr2Ca2Sn15
_chemical_formula_sum 'Sr6 Ca6 Sn45'
_cell_length_a 10.3506
_cell_length_b 10.3506
_cell_length_c 18.5042
_cell_angle_alpha 90.00
_cell_angle_beta 90.00
_cell_angle_gamma 120.00
_symmetry_space_group_name_H-M 'R -3 m'
_symmetry_Int_Tables_number 166
_symmetry_space_group_name_Hall '-R 3 2"'
loop_
_atom_site_label
_atom_site_type_symbol
_atom_site_fract_x
_atom_site_fract_y
_atom_site_fract_z
Sr1 Sr 0.0000 0.0000 0.1687
Ca1 Ca 0.0000 0.0000 0.3968
Sn1 Sn 0.0000 0.2924 0.5000
Sn2 Sn 0.0000 0.5000 0.0000
Sn3 Sn 0.0163 0.5082 0.6270

Entry 8:
# SrCa3Sn2 (PBE, relaxed)
# ΔH_f (0 K) = -15.26 kcal/mol of atoms
data_SrCa3Sn2
_chemical_formula_sum 'Sr2 Ca6 Sn4'
_cell_length_a 5.131
_cell_length_b 9.620
_cell_length_c 8.200
_cell_angle_alpha 90.00
_cell_angle_beta 90.00
_cell_angle_gamma 90.00
_symmetry_space_group_name_H-M 'P m c 21'
_symmetry_Int_Tables_number 26
_symmetry_space_group_name_Hall 'P 2c -2'
loop_
_atom_site_label
_atom_site_type_symbol
_atom_site_fract_x
_atom_site_fract_y
_atom_site_fract_z
Sr1 Sr 0.000 0.065 0.000
Ca1 Ca 0.000 0.324 0.631
Ca2 Ca 0.500 0.184 0.326
Ca3 Ca 0.500 0.431 0.955
Sn1 Sn 0.000 0.362 0.236
Sn2 Sn 0.500 0.143 0.722

| no. | volume (Å³/cell) | energy (eV/atom) |
| --- | --- | --- |
| 1 | 217.63 | -3.19 |
| 2 | 258.33 | -1.53 |
| 3 | 453.79 | -3.83 |
| 4 | 638.07 | -3.23 |
| 5 | 562.77 | -2.74 |
| 6 | 522.33 | -2.97 |
| 7 | 1716.85 | -3.79 |
| 8 | 404.72 | -3.28 |